Entry from Alexandria via LeMat-Bulk: a geometry-optimized Tl3CuNi structure (GGA-PBE).

Cell: 5.084 5.084 5.084 Å, 90.00 90.00 90.00°
Element x y z (fractional)
Tl 0.000 0.500 0.000
Ni 0.000 0.000 0.000
Cu 0.500 0.500 0.500
Tl 0.500 0.000 0.000
Tl 0.000 0.000 0.500

Properties
Crystal system: cubic
Total magnetization, μB per formula unit: 0.00
VASP energy, eV/atom: -2.997